# 1
Entry from the Alexandria database: a relaxed structure of TlCuRe2 (GGA-PBE).

Values from the calculation:
Energy of formation from the pure elements = 0.929 eV/atom
Magnetic moment = 0.00 μB per formula unit
Relative energy among the computed polymorphs = 45.67 kJ per mole of atoms

Cell and atoms, written as POSCAR:
```
TlCuRe2
1.0
3.8197 0.0000 0.0000
0.0000 3.8197 0.0000
1.9099 1.9099 9.8323
Tl Cu Re
2 2 4
Direct
0.7500 0.2500 0.5000
0.0000 0.0000 0.0000
0.2500 0.7500 0.5000
0.5000 0.5000 0.0000
0.8750 0.8212 0.7500
0.1788 0.6250 0.2500
0.5712 0.1250 0.2500
0.3750 0.4288 0.7500
```



# 2
Entry from the Alexandria database: a relaxed structure of Ba2CuReN4 (GGA-PBE).

Values from the calculation:
Magnetic moment = 0.00 μB per formula unit
Uncorrected formation energy = -3.13 eV per formula unit

Cell and atoms, written as POSCAR:
```
Ba2CuReN4
1.0
-0.6971 -1.8523 -4.4293
2.8249 -5.6712 -0.7298
-8.6915 -5.4968 1.0098
N Ba Re Cu
8 4 2 2
Direct
0.2344 0.1925 0.8967
0.8811 0.6925 0.6033
0.5156 0.3075 0.6033
0.8689 0.8075 0.8967
0.3236 0.8075 0.1033
0.4264 0.6925 0.3967
0.5731 0.1925 0.1033
0.1769 0.3075 0.3967
0.9230 0.5000 0.1540
0.8270 0.0000 0.3460
0.5770 0.5000 0.8460
0.1730 0.0000 0.6540
0.2500 0.5000 0.5000
0.5000 0.0000 0.0000
0.0000 0.0000 0.0000
0.7500 0.5000 0.5000
```



| no. | raw total energy (eV per cell) |
| --- | --- |
| 1 | -55.3 |
| 2 | -113.7 |